Record 1
Density functional theory data (PBE) for crystalline RePRh2 at its relaxed geometry.

Lattice parameters (Å, degrees): 2.7987 3.8333 5.2178 90.00 90.00 90.00
Last column: nearest neighbours and their distance in Å.
Element x y z (fractional)
Re (0.0000, 0.0000, 0.0000)  2 P 2.61, 8 Rh 2.71, 2 Re 2.80
P (0.0000, 0.0000, 0.5000)  2 Re 2.61, 8 Rh 2.71, 2 P 2.80
Rh (0.5000, 0.5000, 0.2492)  4 Rh 2.60-2.80, 4 Re 2.71, 4 P 2.71
Rh (0.5000, 0.5000, 0.7508)  4 Rh 2.60-2.80, 4 Re 2.71, 4 P 2.71

- size of the total moment (μB/atom) = 0.000
- energy relative to the elements (eV/f.u.) = -0.07
- density of states at the Fermi level (states/eV/f.u.) = 3.67
- E_tot (eV per atom) = -8.16

Record 2
Density functional theory data (PBE) for crystalline ReP3Rh at its relaxed geometry.

Lattice parameters (Å, degrees): 4.5727 4.5727 4.5727 90.00 90.00 90.00
Last column: nearest neighbours and their distance in Å.
Element x y z (fractional)
Re (0.0000, 0.0000, 0.0000)  6 P 2.29
P (0.0000, 0.0000, 0.5000)  2 Re 2.29
P (0.0000, 0.5000, 0.0000)  2 Re 2.29
P (0.5000, 0.0000, 0.0000)  2 Re 2.29
Rh (0.5000, 0.5000, 0.5000)  12 P 3.23

- size of the total moment (μB/atom) = 0.000
- energy relative to the elements (eV/f.u.) = 4.27
- density of states at the Fermi level (states/eV/f.u.) = 3.95
- E_tot (eV per atom) = -6.35
- excess energy over the best structure of this formula in the dataset (eV per atom) = 0.0000

Record 3
Density functional theory data (PBE) for crystalline RePRh2 at its relaxed geometry.

Lattice parameters (Å, degrees): 2.8090 3.9672 5.1458 90.00 104.39 90.00
Last column: nearest neighbours and their distance in Å.
Element x y z (fractional)
Re (0.0000, 0.0000, 0.0000)  2 P 2.57, 8 Rh 2.73-2.78, 2 Re 2.81
P (0.0000, 0.0000, 0.5000)  4 Rh 2.42, 2 Re 2.57
Rh (0.3645, 0.5000, 0.7390)  2 P 2.42, 1 Rh 2.60
Rh (0.6355, 0.5000, 0.2610)  2 P 2.42, 1 Rh 2.60

- size of the total moment (μB/atom) = 0.000
- energy relative to the elements (eV/f.u.) = -0.46
- density of states at the Fermi level (states/eV/f.u.) = 2.89
- E_tot (eV per atom) = -8.25

Record 4
Density functional theory data (PBE) for crystalline ReP2Rh at its relaxed geometry.

Lattice parameters (Å, degrees): 2.9436 2.9436 21.9598 90.00 90.00 120.00
Last column: nearest neighbours and their distance in Å.
Element x y z (fractional)
Re (0.0000, 0.0000, 0.0000)  6 P 2.48
Re (0.3333, 0.6667, 0.6667)  6 P 2.48
Re (0.6667, 0.3333, 0.3333)  6 P 2.48
P (0.0000, 0.0000, 0.2513)  3 Re 2.48, 3 Rh 2.52
P (0.0000, 0.0000, 0.7487)  3 Re 2.48, 3 Rh 2.52
P (0.3333, 0.6667, 0.4154)  3 Re 2.48, 3 Rh 2.52
P (0.3333, 0.6667, 0.9180)  3 Re 2.48, 3 Rh 2.52
P (0.6667, 0.3333, 0.0820)  3 Re 2.48, 3 Rh 2.52
P (0.6667, 0.3333, 0.5846)  3 Re 2.48, 3 Rh 2.52
Rh (0.0000, 0.0000, 0.5000)  6 P 2.52
Rh (0.3333, 0.6667, 0.1667)  6 P 2.52
Rh (0.6667, 0.3333, 0.8333)  6 P 2.52

- size of the total moment (μB/atom) = 0.000
- energy relative to the elements (eV/f.u.) = -0.81
- density of states at the Fermi level (states/eV/f.u.) = 2.37
- E_tot (eV per atom) = -7.86
- excess energy over the best structure of this formula in the dataset (eV per atom) = 0.1026